No. 1
Na2LiLa2 after structural relaxation, computed with PBE-GGA.

## Properties
DFT formation energy = 242 meV/atom
Polymorph energy (0 for the lowest one) = 0.000 eV per atom

Cell and atoms, written as CIF:
```
data_Na2LiLa2
_chemical_formula_sum 'Na4 Li2 La4'
_cell_length_a 7.271
_cell_length_b 7.271
_cell_length_c 6.137
_cell_angle_alpha 90.00
_cell_angle_beta 90.00
_cell_angle_gamma 90.00
_symmetry_space_group_name_H-M 'P 4/m b m'
_symmetry_Int_Tables_number 127
_symmetry_space_group_name_Hall '-P 4 2ab'
loop_
_atom_site_label
_atom_site_fract_x
_atom_site_fract_y
_atom_site_fract_z
Na1 0.142 0.358 0.000
Li1 0.000 0.000 0.000
La1 0.172 0.672 0.500
```

***

No. 2
Na2LiLa2 after structural relaxation, computed with PBE-GGA.

## Properties
DFT formation energy = 312 meV/atom
Polymorph energy (0 for the lowest one) = 0.070 eV per atom

Cell and atoms, written as CIF:
```
data_Na2LiLa2
_chemical_formula_sum 'Na4 Li2 La4'
_cell_length_a 4.167
_cell_length_b 4.167
_cell_length_c 19.476
_cell_angle_alpha 90.00
_cell_angle_beta 90.00
_cell_angle_gamma 90.00
_symmetry_space_group_name_H-M 'I 4/m m m'
_symmetry_Int_Tables_number 139
_symmetry_space_group_name_Hall '-I 4 2'
loop_
_atom_site_label
_atom_site_fract_x
_atom_site_fract_y
_atom_site_fract_z
Na1 0.000 0.500 0.250
Li1 0.000 0.000 0.000
La1 0.000 0.000 0.419
```

***

No. 3
Na2LiLa2 after structural relaxation, computed with PBE-GGA.

## Properties
DFT formation energy = 420 meV/atom
Polymorph energy (0 for the lowest one) = 0.178 eV per atom

Cell and atoms, written as CIF:
```
data_Na2LiLa2
_chemical_formula_sum 'Na4 Li2 La4'
_cell_length_a 10.065
_cell_length_b 10.065
_cell_length_c 3.631
_cell_angle_alpha 90.00
_cell_angle_beta 90.00
_cell_angle_gamma 90.00
_symmetry_space_group_name_H-M 'P 4/m b m'
_symmetry_Int_Tables_number 127
_symmetry_space_group_name_Hall '-P 4 2ab'
loop_
_atom_site_label
_atom_site_fract_x
_atom_site_fract_y
_atom_site_fract_z
Na1 0.189 0.311 0.000
Li1 0.000 0.000 0.500
La1 0.102 0.602 0.500
```

***

No. 4
NaLi2La2 after structural relaxation, computed with PBE-GGA.

## Properties
DFT formation energy = 273 meV/atom
Polymorph energy (0 for the lowest one) = 0.045 eV per atom

Cell and atoms, written as CIF:
```
data_NaLi2La2
_chemical_formula_sum 'Na2 Li4 La4'
_cell_length_a 3.567
_cell_length_b 3.567
_cell_length_c 24.099
_cell_angle_alpha 90.00
_cell_angle_beta 90.00
_cell_angle_gamma 90.00
_symmetry_space_group_name_H-M 'I 4/m m m'
_symmetry_Int_Tables_number 139
_symmetry_space_group_name_Hall '-I 4 2'
loop_
_atom_site_label
_atom_site_fract_x
_atom_site_fract_y
_atom_site_fract_z
Na1 0.000 0.000 0.000
Li1 0.000 0.500 0.250
La1 0.000 0.000 0.375
```